Below is a relaxed Na5PSe4Br2 crystal, with properties calculated at the GGA-PBE level.

The calculation puts the calculated density at 2957 kg/m³. The uncorrected energy is -82.2 eV per cell.

```
data_Na5PSe4Br2
_symmetry_space_group_name_H-M 'A m m 2'
_symmetry_Int_Tables_number 38
_symmetry_space_group_name_Hall 'A 2 -2'
_cell_length_a 8.5924
_cell_length_b 11.3945
_cell_length_c 7.1301
_cell_angle_alpha 90.00
_cell_angle_beta 90.00
_cell_angle_gamma 90.00
loop_
_atom_site_label
_atom_site_fract_x
_atom_site_fract_y
_atom_site_fract_z
_atom_site_occupancy
Na1 0.0000 0.0000 0.0000 1
Na2 0.2597 0.1958 0.5115 1
P1 0.5000 0.0000 0.0305 1
Se1 0.2895 0.0000 0.2142 1
Se2 0.5000 0.1574 0.8419 1
Br1 0.0000 0.1973 0.7647 1
```